(1)
The following is a DFT calculation (PBE) of crystalline NaHf2Sn at its relaxed geometry.

The value obtained for the formation enthalpy at 0 K is 0.571 eV per atom.

The structure belongs to space group I-42d (No. 122); the cell edges are 8.174, 8.174 and 5.828 Å and the angles 90.00°, 90.00° and 90.00°. The inequivalent atoms are Na at (0.000, 0.000, 0.000), Hf at (0.236, 0.250, 0.625) and Sn at (0.000, 0.000, 0.500).



(2)
The following is a DFT calculation (PBE) of crystalline NaHfSn at its relaxed geometry.

The value obtained for the formation enthalpy at 0 K is 0.117 eV per atom.

The structure belongs to space group R-3m (No. 166, hexagonal axes); the cell edges are 4.7148, 4.7148 and 25.4779 Å and the angles 90.00°, 90.00° and 120.00°. The inequivalent atoms are Na at (0.0000, 0.0000, 0.1379), Hf at (0.0000, 0.0000, 0.2960) and Sn at (0.0000, 0.0000, 0.4132).



(3)
The following is a DFT calculation (PBE) of crystalline NaHfSn2 at its relaxed geometry.

The value obtained for the formation enthalpy at 0 K is -0.082 eV per atom.

The structure belongs to space group R-3m (No. 166, hexagonal axes); the cell edges are 3.3068, 3.3068 and 32.9152 Å and the angles 90.00°, 90.00° and 120.00°. The inequivalent atoms are Na at (0.0000, 0.0000, 0.0000), Hf at (0.0000, 0.0000, 0.5000) and Sn at (0.0000, 0.0000, 0.0918).



What did the first record say?
The following is a DFT calculation (PBE) of crystalline NaHf2Sn at its relaxed geometry.

The value obtained for the formation enthalpy at 0 K is 0.571 eV per atom.

The structure belongs to space group I-42d (No. 122); the cell edges are 8.174, 8.174 and 5.828 Å and the angles 90.00°, 90.00° and 90.00°. The inequivalent atoms are Na at (0.000, 0.000, 0.000), Hf at (0.236, 0.250, 0.625) and Sn at (0.000, 0.000, 0.500).